1.
VASP calculation (PBE-GGA) on a relaxed structure of OsPt2Rh.

The structure in POSCAR format:
```
OsPt2Rh
1.0
4.755 -0.002 -0.002
3.956 2.638 -0.002
0.783 0.237 4.743
Rh Os Pt
1 1 2
direct
0.750 0.750 0.750
0.250 0.250 0.250
0.997 0.997 0.005
0.503 0.503 0.495
```

Properties
D(E_F)	1.009	states/eV/atom
DFT formation energy	0.075	eV per atom
VASP energy	-7.59	eV per atom
symmetry	No. 12
magnetization	0.00	μB per formula unit
energy above the most stable polymorph in this dataset	9.3	kJ/mol of atoms

***

2.
VASP calculation (PBE-GGA) on a relaxed structure of OsPtRh2.

The structure in POSCAR format:
```
OsPtRh2
1.0
4.744 -0.003 0.002
3.958 2.615 0.002
0.775 0.233 4.679
Rh Os Pt
2 1 1
direct
0.999 0.999 0.003
0.247 0.247 0.258
0.502 0.502 0.492
0.752 0.752 0.748
```

Properties
D(E_F)	1.176	states/eV/atom
DFT formation energy	0.044	eV per atom
VASP energy	-7.95	eV per atom
symmetry	No. 8
magnetization	0.00	μB per formula unit
energy above the most stable polymorph in this dataset	8.5	kJ/mol of atoms

***

3.
VASP calculation (PBE-GGA) on a relaxed structure of OsPtRh.

The structure in POSCAR format:
```
OsPtRh
1.0
-1.158 -1.875 5.816
-0.285 -4.165 4.610
2.428 0.285 1.217
Rh Os Pt
1 1 1
direct
0.659 0.659 0.341
0.005 0.005 0.995
0.337 0.337 0.663
```

Properties
D(E_F)	1.161	states/eV/atom
DFT formation energy	0.029	eV per atom
VASP energy	-8.18	eV per atom
symmetry	No. 107
magnetization	0.00	μB per formula unit
energy above the most stable polymorph in this dataset	3.6	kJ/mol of atoms

***

4.
VASP calculation (PBE-GGA) on a relaxed structure of Os2PtRh.

The structure in POSCAR format:
```
Os2PtRh
1.0
9.088 -1.364 0.006
9.088 1.364 0.006
8.881 0.000 2.359
Os Pt Rh
2 1 1
direct
0.752 0.752 0.752
0.248 0.248 0.248
0.000 0.000 0.000
0.500 0.500 0.500
```

Properties
D(E_F)	1.187	states/eV/atom
DFT formation energy	0.139	eV per atom
VASP energy	-8.82	eV per atom
symmetry	No. 166
magnetization	0.00	μB per formula unit
energy above the most stable polymorph in this dataset	11.4	kJ/mol of atoms

***

What is the formula in the fourth record?
Os2PtRh

***

Look up the magnetization of the fourth one.
0.00 μB per formula unit